[1]
Material: CaNbHg3
Method: DFT, GGA-PBEsol
State: relaxed

Geometry as CIF:
```
data_CaNbHg3
_symmetry_space_group_name_H-M 'P m -3 m'
_symmetry_Int_Tables_number 221
_symmetry_space_group_name_Hall '-P 4 2 3'
_cell_length_a 5.379
_cell_length_b 5.379
_cell_length_c 5.379
_cell_angle_alpha 90.00
_cell_angle_beta 90.00
_cell_angle_gamma 90.00
loop_
_atom_site_label
_atom_site_type_symbol
_atom_site_fract_x
_atom_site_fract_y
_atom_site_fract_z
Ca1 Ca 0.000 0.000 0.000
Nb1 Nb 0.500 0.500 0.500
Hg1 Hg 0.000 0.000 0.500
```

**Total magnetic moment**: 3.9 Bohr magnetons per cell

=====

[2]
Material: CaNiHg3
Method: DFT, GGA-PBEsol
State: relaxed

Geometry as CIF:
```
data_CaNiHg3
_symmetry_space_group_name_H-M 'P m -3 m'
_symmetry_Int_Tables_number 221
_symmetry_space_group_name_Hall '-P 4 2 3'
_cell_length_a 5.652
_cell_length_b 5.652
_cell_length_c 5.652
_cell_angle_alpha 90.00
_cell_angle_beta 90.00
_cell_angle_gamma 90.00
loop_
_atom_site_label
_atom_site_type_symbol
_atom_site_fract_x
_atom_site_fract_y
_atom_site_fract_z
Ca1 Ca 0.000 0.000 0.000
Ni1 Ni 0.500 0.500 0.500
Hg1 Hg 0.000 0.000 0.500
```

**Total magnetic moment**: 0.8 Bohr magnetons per cell

=====

[3]
Material: CaNi2Hg2
Method: DFT, GGA-PBEsol
State: relaxed

Geometry as CIF:
```
data_CaNi2Hg2
_symmetry_space_group_name_H-M 'I 4/m m m'
_symmetry_Int_Tables_number 139
_symmetry_space_group_name_Hall '-I 4 2'
_cell_length_a 4.277
_cell_length_b 4.277
_cell_length_c 10.448
_cell_angle_alpha 90.00
_cell_angle_beta 90.00
_cell_angle_gamma 90.00
loop_
_atom_site_label
_atom_site_type_symbol
_atom_site_fract_x
_atom_site_fract_y
_atom_site_fract_z
Ca1 Ca 0.000 0.000 0.000
Ni1 Ni 0.000 0.000 0.394
Hg1 Hg 0.000 0.500 0.250
```

**Total magnetic moment**: 0.0 Bohr magnetons per cell

=====

[4]
Material: Ca3NiHg
Method: DFT, GGA-PBEsol
State: relaxed

Geometry as CIF:
```
data_Ca3NiHg
_symmetry_space_group_name_H-M 'P m -3 m'
_symmetry_Int_Tables_number 221
_symmetry_space_group_name_Hall '-P 4 2 3'
_cell_length_a 5.633
_cell_length_b 5.633
_cell_length_c 5.633
_cell_angle_alpha 90.00
_cell_angle_beta 90.00
_cell_angle_gamma 90.00
loop_
_atom_site_label
_atom_site_type_symbol
_atom_site_fract_x
_atom_site_fract_y
_atom_site_fract_z
Ca1 Ca 0.000 0.000 0.500
Ni1 Ni 0.500 0.500 0.500
Hg1 Hg 0.000 0.000 0.000
```

**Total magnetic moment**: 0.4 Bohr magnetons per cell

=====

[5]
Material: CaHgO2
Method: DFT, GGA-PBEsol
State: relaxed

Geometry as CIF:
```
data_CaHgO2
_symmetry_space_group_name_H-M 'R -3 m'
_symmetry_Int_Tables_number 166
_symmetry_space_group_name_Hall '-R 3 2"'
_cell_length_a 3.5668
_cell_length_b 3.5668
_cell_length_c 18.6705
_cell_angle_alpha 90.00
_cell_angle_beta 90.00
_cell_angle_gamma 120.00
loop_
_atom_site_label
_atom_site_type_symbol
_atom_site_fract_x
_atom_site_fract_y
_atom_site_fract_z
Ca1 Ca 0.0000 0.0000 0.0000
Hg1 Hg 0.0000 0.0000 0.5000
O1 O 0.0000 0.0000 0.3941
```

**Total magnetic moment**: 0.0 Bohr magnetons per cell

=====

[6]
Material: CaHgOs2
Method: DFT, GGA-PBEsol
State: relaxed

Geometry as CIF:
```
data_CaHgOs2
_symmetry_space_group_name_H-M 'I 4/m m m'
_symmetry_Int_Tables_number 139
_symmetry_space_group_name_Hall '-I 4 2'
_cell_length_a 3.909
_cell_length_b 3.909
_cell_length_c 9.194
_cell_angle_alpha 90.00
_cell_angle_beta 90.00
_cell_angle_gamma 90.00
loop_
_atom_site_label
_atom_site_type_symbol
_atom_site_fract_x
_atom_site_fract_y
_atom_site_fract_z
Ca1 Ca 0.000 0.000 0.000
Hg1 Hg 0.000 0.000 0.500
Os1 Os 0.000 0.500 0.250
```

**Total magnetic moment**: 0.0 Bohr magnetons per cell

=====

Volume values, unit A^3/atom, following the record order: 31.1; 36.1; 19.1; 35.8; 17.1; 17.6.
E values, unit eV per atom, following the record order: -1.715; -0.972; -3.202; -2.169; -5.053; -5.985.